Computed, not measured: crystalline SrEr4Se5 at its relaxed geometry at the PBE-GGA level of DFT.

Cell lengths 10.846, 10.846, 10.846 Å; angles 158.09, 149.00, 38.28 degrees
Fractional coordinates of all 10 atoms:
1 Sr 0.000 0.000 0.000
2 Er 0.206 0.206 0.000
3 Er 0.398 0.398 0.000
4 Er 0.602 0.602 0.000
5 Er 0.794 0.794 0.000
6 Se 0.108 0.608 0.500
7 Se 0.302 0.802 0.500
8 Se 0.500 0.000 0.500
9 Se 0.698 0.198 0.500
10 Se 0.892 0.392 0.500

Calculated values
Final energy (eV/cell): -54.70
Theoretical density (Mg/m³): 7.81
SG: Immm
Energy relative to the elements, uncorrected (eV/atom): -1.7345

Computed, not measured: crystalline K3TaSe at its relaxed geometry at the PBE-GGA level of DFT.

Cell lengths 6.249, 6.249, 6.249 Å; angles 90.00, 90.00, 90.00 degrees
Fractional coordinates of all 5 atoms:
1 K 0.000 0.000 0.500
2 K 0.000 0.500 0.000
3 K 0.500 0.000 0.000
4 Ta 0.500 0.500 0.500
5 Se 0.000 0.000 0.000

Calculated values
Final energy (eV/cell): -15.11
Offset from the most stable computed form (meV per atom): 0
Theoretical density (Mg/m³): 2.57
SG: Pm-3m
Energy relative to the elements, uncorrected (eV/atom): 0.7034

Computed, not measured: crystalline I at its relaxed geometry at the PBE-GGA level of DFT.

Cell lengths 13.769, 13.769, 4.947 Å; angles 90.00, 90.00, 90.00 degrees
Fractional coordinates of all 16 atoms:
1 I 0.056 0.704 0.000
2 I 0.123 0.183 0.000
3 I 0.183 0.877 0.000
4 I 0.204 0.444 0.500
5 I 0.296 0.056 0.000
6 I 0.317 0.623 0.500
7 I 0.377 0.317 0.500
8 I 0.444 0.796 0.500
9 I 0.556 0.204 0.500
10 I 0.623 0.683 0.500
11 I 0.683 0.377 0.500
12 I 0.704 0.944 0.000
13 I 0.796 0.556 0.500
14 I 0.817 0.123 0.000
15 I 0.877 0.817 0.000
16 I 0.944 0.296 0.000

Calculated values
Final energy (eV/cell): -24.57
Offset from the most stable computed form (meV per atom): 14
Theoretical density (Mg/m³): 3.59
SG: I4/m
Energy relative to the elements, uncorrected (eV/atom): 0.0145

Computed, not measured: crystalline Dy4Tl2I5 at its relaxed geometry at the PBE-GGA level of DFT.

Cell lengths 12.350, 12.350, 9.769 Å; angles 96.25, 96.25, 18.13 degrees
Fractional coordinates of all 11 atoms:
1 Dy 0.034 0.034 0.253
2 Dy 0.345 0.345 0.570
3 Dy 0.655 0.655 0.430
4 Dy 0.966 0.966 0.747
5 Tl 0.064 0.064 0.567
6 Tl 0.936 0.936 0.433
7 I 0.153 0.153 0.178
8 I 0.216 0.216 0.646
9 I 0.500 0.500 0.000
10 I 0.784 0.784 0.354
11 I 0.847 0.847 0.822

Calculated values
Final energy (eV/cell): -39.09
Theoretical density (Mg/m³): 6.10
SG: C2/m
Energy relative to the elements, uncorrected (eV/atom): -0.7451

Computed, not measured: crystalline PmY2Pt at its relaxed geometry at the PBE-GGA level of DFT.

Cell lengths 7.152, 9.685, 6.580 Å; angles 90.00, 90.00, 90.00 degrees
Fractional coordinates of all 16 atoms:
1 Pm 0.025 0.250 0.135
2 Pm 0.475 0.750 0.635
3 Pm 0.525 0.250 0.365
4 Pm 0.975 0.750 0.865
5 Y 0.177 0.062 0.676
6 Y 0.177 0.438 0.676
7 Y 0.323 0.562 0.176
8 Y 0.323 0.938 0.176
9 Y 0.677 0.062 0.824
10 Y 0.677 0.438 0.824
11 Y 0.823 0.562 0.324
12 Y 0.823 0.938 0.324
13 Pt 0.115 0.750 0.439
14 Pt 0.385 0.250 0.939
15 Pt 0.615 0.750 0.061
16 Pt 0.885 0.250 0.561

Calculated values
Final energy (eV/cell): -105.88
Offset from the most stable computed form (meV per atom): 0
ΔE_f (eV/atom): -0.688
Theoretical density (Mg/m³): 7.55
SG: Pnma

Computed, not measured: crystalline Co3HgAs at its relaxed geometry at the PBE-GGA level of DFT.

Cell lengths 4.738, 4.738, 4.738 Å; angles 90.00, 90.00, 90.00 degrees
Fractional coordinates of all 5 atoms:
1 Co 0.000 0.000 0.500
2 Co 0.000 0.500 0.000
3 Co 0.500 0.000 0.000
4 Hg 0.000 0.000 0.000
5 As 0.500 0.500 0.500

Calculated values
Final energy (eV/cell): -17.85
Offset from the most stable computed form (meV per atom): 1085
ΔE_f (eV/atom): 1.684
Theoretical density (Mg/m³): 7.06
SG: Pm-3m

Computed, not measured: crystalline NiBr at its relaxed geometry at the PBE-GGA level of DFT.

Cell lengths 3.462, 3.462, 14.483 Å; angles 90.00, 90.00, 90.00 degrees
Fractional coordinates of all 8 atoms:
1 Ni 0.000 0.250 0.375
2 Ni 0.000 0.750 0.625
3 Ni 0.500 0.250 0.125
4 Ni 0.500 0.750 0.875
5 Br 0.000 0.250 0.875
6 Br 0.000 0.750 0.125
7 Br 0.500 0.250 0.625
8 Br 0.500 0.750 0.375

Calculated values
Final energy (eV/cell): -27.20
Theoretical density (Mg/m³): 5.30
SG: I4_1/amd
Energy relative to the elements, uncorrected (eV/atom): 0.3272

Computed, not measured: crystalline RbCd3Ni at its relaxed geometry at the PBE-GGA level of DFT.

Cell lengths 5.183, 5.183, 5.183 Å; angles 90.00, 90.00, 90.00 degrees
Fractional coordinates of all 5 atoms:
1 Rb 0.000 0.000 0.000
2 Cd 0.000 0.500 0.500
3 Cd 0.500 0.000 0.500
4 Cd 0.500 0.500 0.000
5 Ni 0.500 0.500 0.500

Calculated values
Final energy (eV/cell): -9.52
ΔE_f (eV/atom): -0.004
Theoretical density (Mg/m³): 5.74
SG: Pm-3m

Computed, not measured: crystalline LiFe2Ir at its relaxed geometry at the PBE-GGA level of DFT.

Cell lengths 4.327, 4.327, 2.764 Å; angles 90.00, 90.00, 90.00 degrees
Fractional coordinates of all 4 atoms:
1 Li 0.000 0.000 0.000
2 Fe 0.000 0.500 0.500
3 Fe 0.500 0.000 0.500
4 Ir 0.500 0.500 0.000

Calculated values
Final energy (eV/cell): -27.46
ΔE_f (eV/atom): 0.060
Theoretical density (Mg/m³): 9.98
SG: P4/mmm

Computed, not measured: crystalline Ac3Ga8Pt3 at its relaxed geometry at the PBE-GGA level of DFT.

Cell lengths 8.568, 8.568, 9.291 Å; angles 121.89, 121.89, 31.27 degrees
Fractional coordinates of all 14 atoms:
1 Ac 0.000 0.000 0.000
2 Ac 0.291 0.291 0.301
3 Ac 0.709 0.709 0.699
4 Ga 0.135 0.135 0.423
5 Ga 0.153 0.153 0.871
6 Ga 0.346 0.346 0.711
7 Ga 0.494 0.494 0.317
8 Ga 0.506 0.506 0.683
9 Ga 0.654 0.654 0.289
10 Ga 0.847 0.847 0.129
11 Ga 0.865 0.865 0.577
12 Pt 0.000 0.000 0.500
13 Pt 0.350 0.350 0.996
14 Pt 0.650 0.650 0.004

Calculated values
Final energy (eV/cell): -64.83
Offset from the most stable computed form (meV per atom): 0
ΔE_f (eV/atom): -0.726
Theoretical density (Mg/m³): 10.23
SG: C2/m

Computed, not measured: crystalline TbNp2O7 at its relaxed geometry at the PBE-GGA level of DFT.

Cell lengths 10.442, 10.442, 10.442 Å; angles 21.05, 21.05, 21.05 degrees
Fractional coordinates of all 10 atoms:
1 Tb 0.000 0.000 0.000
2 Np 0.433 0.433 0.433
3 Np 0.567 0.567 0.567
4 O 0.078 0.078 0.078
5 O 0.220 0.220 0.220
6 O 0.362 0.362 0.362
7 O 0.500 0.500 0.500
8 O 0.638 0.638 0.638
9 O 0.780 0.780 0.780
10 O 0.922 0.922 0.922

Calculated values
Final energy (eV/cell): -95.20
Theoretical density (Mg/m³): 9.62
SG: R-3m
Energy relative to the elements, uncorrected (eV/atom): -2.9979

Computed, not measured: crystalline Ga2BrCl at its relaxed geometry at the PBE-GGA level of DFT.

Cell lengths 3.742, 3.742, 7.447 Å; angles 90.00, 90.00, 90.00 degrees
Fractional coordinates of all 4 atoms:
1 Ga 0.000 0.000 0.239
2 Ga 0.000 0.000 0.761
3 Br 0.500 0.500 0.500
4 Cl 0.500 0.500 0.000

Calculated values
Final energy (eV/cell): -11.70
Offset from the most stable computed form (meV per atom): 48
Theoretical density (Mg/m³): 4.06
SG: P4/mmm
Energy relative to the elements, uncorrected (eV/atom): -0.5326